An optimized crystal structure of VPbS2O8, computed with GGA+U.

Cell lengths 4.9149, 4.9149, 22.1030 Å; angles 90.00, 90.00, 120.00 degrees
With the nearest neighbours (Å) after each atom.
Space group R-3 (No. 148, hexagonal axes)
Asymmetric unit:
V (0.0000, 0.0000, 0.0000) (multiplicity 3)  6 O 2.18
Pb (0.0000, 0.0000, 0.5000) (multiplicity 3)  12 O 2.87-2.95
S (0.0000, 0.0000, 0.2525) (multiplicity 6)  4 O 1.49-1.50
O (0.0000, 0.0000, 0.1846) (multiplicity 6)  1 S 1.50
O (0.0077, 0.7155, 0.7268) (multiplicity 18)  1 S 1.49

DFT total energy   -6.417 eV per atom
Size of the total moment   3.0 μB per formula unit
D(E_F)   0.00 states/eV per cell